# 1
MoAsPb2W after structural relaxation. Source: Alexandria via LeMat-Bulk, functional GGA-PBE.

Unit cell a=5.5461 b=5.5461 c=4.9176 alpha=90.00 beta=90.00 gamma=90.00
Fractional coordinates of all 5 atoms:
Pb: 0.0000 0.5000 0.0000
Pb: 0.5000 0.0000 0.0000
Mo: 0.5000 0.5000 0.5000
As: 0.0000 0.0000 0.5000
W: 0.0000 0.0000 0.0000

formation energy from the elements = 6.59 eV per formula unit
raw total energy = -5.85 eV/atom
symmetry = P4/mmm (123)

---

# 2
RbInI2 after structural relaxation. Source: Alexandria via LeMat-Bulk, functional GGA-PBE.

Unit cell a=5.1497 b=5.1497 c=8.8650 alpha=73.12 beta=73.12 gamma=60.08
Fractional coordinates of all 4 atoms:
Rb: 0.5000 0.5000 0.5000
In: 0.0000 0.0000 0.0000
I: 0.7456 0.7456 0.7648
I: 0.2544 0.2544 0.2352

formation energy without anion corrections = -0.97 eV per atom
raw total energy = -2.67 eV/atom
symmetry = C2/m (12)